(1)
7
Lattice="-2.7086 2.7086 7.1008 2.7086 -2.7086 7.1008 2.7086 2.7086 -7.1008" Properties=species:S:1:pos:R:3 comment="Cd4AgHg2, relaxed, DFT PBE" magnetic_moment_mub_per_fu=0.00 crystal_system=tetragonal relative_energy_ev_per_atom=0.127 delta_e_f_ev_per_atom=0.17 pbc="T T T"
Cd 2.7086 0.0000 0.0000
Cd 0.0000 0.0000 2.7033
Cd 0.0000 2.7086 0.0000
Cd 0.0000 0.0000 11.4983
Ag 0.0000 0.0000 0.0000
Hg 0.0000 0.0000 5.4936
Hg 0.0000 0.0000 8.7081

(2)
5
Lattice="5.5661 0.0000 0.0000 0.0000 5.5661 0.0000 0.0000 0.0000 5.5661" Properties=species:S:1:pos:R:3 comment="HfIn3P, relaxed, DFT PBE" magnetic_moment_mub_per_fu=0.00 crystal_system=cubic relative_energy_ev_per_atom=0.357 delta_e_f_ev_per_atom=1.07 pbc="T T T"
Hf 0.0000 0.0000 0.0000
In 0.0000 0.0000 2.7831
In 0.0000 2.7831 0.0000
In 2.7831 0.0000 0.0000
P 2.7831 2.7831 2.7831

(3)
20
Lattice="9.1495 0.0000 0.0000 0.0000 9.1495 0.0000 0.0000 0.0000 3.4511" Properties=species:S:1:pos:R:3 comment="U2NiB2Ir5, relaxed, DFT PBE" magnetic_moment_mub_per_fu=1.96 crystal_system=tetragonal delta_e_f_ev_per_atom=-0.42 pbc="T T T"
U 1.6359 2.9389 0.0000
U 2.9389 7.5136 0.0000
U 6.2106 1.6359 0.0000
U 7.5136 6.2106 0.0000
Ni 0.0000 0.0000 0.0000
Ni 4.5747 4.5747 0.0000
B 1.1189 5.6937 0.0000
B 3.4558 1.1189 0.0000
B 5.6937 8.0306 0.0000
B 8.0306 3.4558 0.0000
Ir 0.0000 4.5747 1.7256
Ir 0.6477 7.2048 1.7256
Ir 1.9447 0.6477 1.7256
Ir 2.6301 5.2224 1.7256
Ir 3.9271 2.6301 1.7256
Ir 4.5747 0.0000 1.7256
Ir 5.2224 6.5194 1.7256
Ir 6.5194 3.9271 1.7256
Ir 7.2048 8.5018 1.7256
Ir 8.5018 1.9447 1.7256

(4)
12
Lattice="2.4309 1.4035 7.8186 -2.4309 1.4035 7.8186 0.0000 -2.8070 7.8186" Properties=species:S:1:pos:R:3 comment="TiCr3, relaxed, DFT PBE" magnetic_moment_mub_per_fu=0.00 crystal_system=trigonal delta_e_f_ev_per_atom=0.05 pbc="T T T"
Ti 0.0000 0.0000 0.0000
Ti 0.0000 0.0000 3.3954
Ti 0.0000 0.0000 20.0605
Cr -1.2283 -0.7092 9.7995
Cr 0.0000 0.0000 7.8016
Cr 0.0000 -1.4183 13.6564
Cr -1.2283 0.7092 13.6564
Cr 0.0000 0.0000 11.7279
Cr 1.2283 -0.7092 9.7995
Cr 0.0000 1.4183 9.7995
Cr 0.0000 0.0000 15.6543
Cr 1.2283 0.7092 13.6564

(5)
4
Lattice="0.0000 3.8744 3.8744 3.8744 0.0000 3.8744 3.8744 3.8744 0.0000" Properties=species:S:1:pos:R:3 comment="TbDyThTl, relaxed, DFT PBE" magnetic_moment_mub_per_fu=0.02 crystal_system=cubic delta_e_f_ev_per_atom=0.06 pbc="T T T"
Tb 0.0000 0.0000 0.0000
Dy 3.8744 3.8744 3.8744
Th 1.9372 1.9372 1.9372
Tl 5.8116 5.8116 5.8116

(6)
4
Lattice="3.0019 -4.8061 0.0000 3.0019 4.8061 0.0000 -1.4090 0.0000 2.8372" Properties=species:S:1:pos:R:3 comment="YMn2Hg, relaxed, DFT PBE" magnetic_moment_mub_per_fu=6.87 crystal_system=monoclinic delta_e_f_ev_per_atom=0.40 pbc="T T T"
Y 0.0000 0.0000 0.0000
Mn 0.7965 2.4031 1.4186
Mn 0.7965 -2.4031 1.4186
Hg 3.0019 0.0000 0.0000

(7)
4
Lattice="3.3122 0.0000 0.0000 0.0000 3.3247 0.0000 0.0000 0.0000 9.6599" Properties=species:S:1:pos:R:3 comment="MnBr2Cl, relaxed, DFT PBE" magnetic_moment_mub_per_fu=5.36 crystal_system=orthorhombic relative_energy_ev_per_atom=0.643 e_form_raw_ev_per_atom=-0.0760 pbc="T T T"
Mn 0.0000 0.0000 0.0000
Br 1.6561 1.6624 1.6463
Br 1.6561 1.6624 8.0136
Cl 0.0000 0.0000 4.8300

(8)
6
Lattice="0.0000 4.4240 4.4240 4.4240 0.0000 4.4240 4.4240 4.4240 0.0000" Properties=species:S:1:pos:R:3 comment="YTe4Se, relaxed, DFT PBE" magnetic_moment_mub_per_fu=0.00 crystal_system=cubic e_form_raw_ev_per_atom=0.0198 pbc="T T T"
Y 0.0000 0.0000 0.0000
Te 3.3173 3.3173 3.3173
Te 5.5307 5.5307 3.3173
Te 5.5307 3.3173 5.5307
Te 3.3173 5.5307 5.5307
Se 6.6360 6.6360 6.6360

(9)
4
Lattice="3.5530 0.0000 0.0000 0.0000 4.7878 0.0000 -1.7535 0.0000 6.6663" Properties=species:S:1:pos:R:3 comment="La3Mo, relaxed, DFT PBE" magnetic_moment_mub_per_fu=0.00 crystal_system=monoclinic relative_energy_ev_per_atom=0.194 delta_e_f_ev_per_atom=0.40 pbc="T T T"
La 0.0000 0.0000 0.0000
La -0.1682 2.3939 4.7664
La 1.9677 2.3939 1.9000
Mo 0.8997 0.0000 3.3332

(10)
4
Lattice="3.9093 -2.2736 0.0000 3.9093 2.2736 0.0000 -2.7015 0.0000 6.0555" Properties=species:S:1:pos:R:3 comment="KInCu2, relaxed, DFT PBE" magnetic_moment_mub_per_fu=0.00 crystal_system=monoclinic relative_energy_ev_per_atom=0.000 delta_e_f_ev_per_atom=0.04 pbc="T T T"
K 0.0000 0.0000 0.0000
In 2.5585 0.0000 3.0278
Cu -0.0526 0.0000 3.1829
Cu 5.1696 0.0000 2.8726

(11)
32
Lattice="16.5835 0.0000 0.0000 0.0000 7.6782 0.0000 0.0000 0.0000 5.6874" Properties=species:S:1:pos:R:3 comment="TbIn2Pt, relaxed, DFT PBE" magnetic_moment_mub_per_fu=0.00 crystal_system=orthorhombic delta_e_f_ev_per_atom=-0.71 pbc="T T T"
Tb 1.7710 1.9195 1.3394
Tb 2.3918 5.7586 2.6529
Tb 5.9000 1.9195 5.4966
Tb 6.5207 5.7586 4.1830
Tb 10.0628 1.9195 1.5043
Tb 10.6835 5.7586 0.1907
Tb 14.1918 1.9195 3.0344
Tb 14.8125 5.7586 4.3480
In 0.5317 0.3671 4.1918
In 0.5317 3.4720 4.1918
In 3.5821 4.2228 5.5414
In 3.5821 7.2944 5.5414
In 4.7097 0.3837 2.6977
In 4.7097 3.4554 2.6977
In 7.7601 4.2062 1.3481
In 7.7601 7.3111 1.3481
In 8.8234 0.3671 4.3393
In 8.8234 3.4720 4.3393
In 11.8739 4.2228 2.9897
In 11.8739 7.2944 2.9897
In 13.0014 0.3837 0.1460
In 13.0014 3.4554 0.1460
In 16.0519 4.2062 1.4956
In 16.0519 7.3111 1.4956
Pt 1.2193 5.7586 5.5928
Pt 2.8453 1.9195 4.1800
Pt 5.4465 5.7586 1.3364
Pt 7.0724 1.9195 2.7491
Pt 9.5111 5.7586 2.9383
Pt 11.1371 1.9195 4.3510
Pt 13.7382 5.7586 1.5073
Pt 15.3642 1.9195 0.0946

(12)
4
Lattice="0.0000 3.2604 3.2604 3.2604 0.0000 3.2604 3.2604 3.2604 0.0000" Properties=species:S:1:pos:R:3 comment="LaPW2, relaxed, DFT PBE" magnetic_moment_mub_per_fu=0.00 crystal_system=cubic relative_energy_ev_per_atom=0.919 delta_e_f_ev_per_atom=0.85 pbc="T T T"
La 0.0000 0.0000 0.0000
P 3.2604 3.2604 3.2604
W 1.6302 1.6302 1.6302
W 4.8906 4.8906 4.8906

(13)
5
Lattice="4.4991 0.0000 0.0000 0.0000 4.4991 0.0000 0.0000 0.0000 4.4991" Properties=species:S:1:pos:R:3 comment="Zr3PdF, relaxed, DFT PBE" magnetic_moment_mub_per_fu=0.00 crystal_system=cubic relative_energy_ev_per_atom=0.000 e_form_raw_ev_per_atom=-0.6342 pbc="T T T"
Zr 0.0000 0.0000 2.2496
Zr 0.0000 2.2496 0.0000
Zr 2.2496 0.0000 0.0000
Pd 2.2496 2.2496 2.2496
F 0.0000 0.0000 0.0000

(14)
5
Lattice="4.4791 0.0000 0.0000 0.0000 4.4791 0.0000 0.0000 0.0000 4.7770" Properties=species:S:1:pos:R:3 comment="TcP2RhS, relaxed, DFT PBE" magnetic_moment_mub_per_fu=2.29 crystal_system=tetragonal relative_energy_ev_per_atom=0.198 e_form_raw_ev_per_atom=0.9956 pbc="T T T"
Tc 0.0000 0.0000 0.0000
P 0.0000 2.2396 2.3885
P 2.2396 0.0000 2.3885
Rh 2.2396 2.2396 2.3885
S 2.2396 2.2396 0.0000

(15)
13
Lattice="2.7901 -6.7597 0.0000 2.7901 6.7597 0.0000 -2.7609 0.0000 6.6299" Properties=species:S:1:pos:R:3 comment="SmCuAu11, relaxed, DFT PBE" magnetic_moment_mub_per_fu=0.00 crystal_system=monoclinic delta_e_f_ev_per_atom=-0.19 pbc="T T T"
Sm 0.0000 0.0000 0.0000
Cu 1.4097 0.0000 3.3150
Au -1.3804 0.0000 3.3150
Au 1.3951 3.3799 0.0000
Au 0.0713 2.2656 2.3290
Au 0.0891 1.4158 5.1871
Au 0.0713 -2.2656 2.3290
Au 2.7304 1.4158 1.4428
Au 1.3951 -3.3799 0.0000
Au 0.0891 -1.4158 5.1871
Au 2.7481 2.2656 4.3010
Au 2.7304 -1.4158 1.4428
Au 2.7481 -2.2656 4.3010

(16)
4
Lattice="4.5132 0.0000 0.0000 0.0000 2.0672 5.9003 0.0000 -2.0672 5.9003" Properties=species:S:1:pos:R:3 comment="SrPrAgPt, relaxed, DFT PBE" magnetic_moment_mub_per_fu=0.00 crystal_system=orthorhombic relative_energy_ev_per_atom=0.000 delta_e_f_ev_per_atom=-0.62 pbc="T T T"
Sr 0.0000 0.0000 0.0000
Pr 2.2566 0.0000 3.2807
Ag 2.2566 0.0000 6.7347
Pt 0.0000 0.0000 8.6283

(17)
5
Lattice="6.1856 0.0000 0.0000 0.0000 6.1856 0.0000 0.0000 0.0000 6.1856" Properties=species:S:1:pos:R:3 comment="RbBaTe3, relaxed, DFT PBE" magnetic_moment_mub_per_fu=1.16 crystal_system=cubic relative_energy_ev_per_atom=0.838 e_form_raw_ev_per_atom=-0.1078 pbc="T T T"
Rb 0.0000 0.0000 0.0000
Ba 3.0928 3.0928 3.0928
Te 0.0000 0.0000 3.0928
Te 0.0000 3.0928 0.0000
Te 3.0928 0.0000 0.0000

(18)
5
Lattice="4.1336 0.0000 0.0000 0.0000 4.1336 0.0000 0.0000 0.0000 4.1336" Properties=species:S:1:pos:R:3 comment="Be3CrAs, relaxed, DFT PBE" magnetic_moment_mub_per_fu=0.01 crystal_system=cubic relative_energy_ev_per_atom=0.097 delta_e_f_ev_per_atom=1.37 pbc="T T T"
Be 0.0000 0.0000 2.0668
Be 0.0000 2.0668 0.0000
Be 2.0668 0.0000 0.0000
Cr 2.0668 2.0668 2.0668
As 0.0000 0.0000 0.0000

(19)
8
Lattice="-1.9654 1.9654 9.4415 1.9654 -1.9654 9.4415 1.9654 1.9654 -9.4415" Properties=species:S:1:pos:R:3 comment="HfMn2Au, relaxed, DFT PBE" magnetic_moment_mub_per_fu=6.31 crystal_system=tetragonal relative_energy_ev_per_atom=0.451 delta_e_f_ev_per_atom=0.34 pbc="T T T"
Hf 0.0000 0.0000 0.0000
Hf 0.0000 1.9654 4.7207
Mn 0.9827 -0.9756 7.0811
Mn 0.9898 0.9827 2.3604
Mn 0.9827 2.9410 -2.3604
Mn 0.9756 0.9827 11.8019
Au 1.9654 0.0000 4.7207
Au 0.0000 0.0000 9.4415

(20)
5
Lattice="4.8708 0.0000 0.0000 0.0000 4.8708 0.0000 0.0000 0.0000 4.8708" Properties=species:S:1:pos:R:3 comment="InGa3Os, relaxed, DFT PBE" magnetic_moment_mub_per_fu=0.00 crystal_system=cubic relative_energy_ev_per_atom=0.000 delta_e_f_ev_per_atom=0.03 pbc="T T T"
In 0.0000 0.0000 0.0000
Ga 0.0000 2.4354 2.4354
Ga 2.4354 0.0000 2.4354
Ga 2.4354 2.4354 0.0000
Os 2.4354 2.4354 2.4354